(1)
Here is a geometry-optimized Zr2VCF structure from the Alexandria database. Energies are from GGA+U.

For the total DFT energy (no corrections), the calculation gives -6.518 eV/atom. Its calculated density is 5.74 g cm⁻³.

It has space group P4/mmm (No. 123), with a = 4.4332 Å, b = 4.4332 Å, c = 3.8936 Å, α = 90.00°, β = 90.00° and γ = 90.00°. The distinct sites, in fractional coordinates, are Zr at (0.0000, 0.5000, 0.0000), V at (0.0000, 0.0000, 0.5000), C at (0.5000, 0.5000, 0.5000) and F at (0.0000, 0.0000, 0.0000).

(2)
Here is a geometry-optimized W3CF structure from the Alexandria database. Energies are from GGA+U.

For the total DFT energy (no corrections), the calculation gives -5.358 eV/atom. Its calculated density is 13.01 g cm⁻³.

It has space group Pm-3m (No. 221), with a = 4.2050 Å, b = 4.2050 Å, c = 4.2050 Å, α = 90.00°, β = 90.00° and γ = 90.00°. The distinct sites, in fractional coordinates, are W at (0.0000, 0.0000, 0.5000), C at (0.0000, 0.0000, 0.0000) and F at (0.5000, 0.5000, 0.5000).

(3)
Here is a geometry-optimized WC3F structure from the Alexandria database. Energies are from GGA+U.

Its calculated density is 8.55 g cm⁻³. As for the energy relative to the lowest polymorph listed for this composition: 892 meV per atom.

It has space group Pm-3m (No. 221), with a = 3.5935 Å, b = 3.5935 Å, c = 3.5935 Å, α = 90.00°, β = 90.00° and γ = 90.00°. The distinct sites, in fractional coordinates, are W at (0.0000, 0.0000, 0.0000), C at (0.0000, 0.5000, 0.5000) and F at (0.5000, 0.5000, 0.5000).

(4)
Here is a geometry-optimized WCF3 structure from the Alexandria database. Energies are from GGA+U.

Its calculated density is 6.65 g cm⁻³. As for the energy relative to the lowest polymorph listed for this composition: 1055 meV per atom.

It has space group Pm-3m (No. 221), with a = 3.9819 Å, b = 3.9819 Å, c = 3.9819 Å, α = 90.00°, β = 90.00° and γ = 90.00°. The distinct sites, in fractional coordinates, are W at (0.0000, 0.0000, 0.0000), C at (0.5000, 0.5000, 0.5000) and F at (0.0000, 0.5000, 0.5000).

(5)
Here is a geometry-optimized WCF3 structure from the Alexandria database. Energies are from GGA+U.

Its calculated density is 5.46 g cm⁻³. As for the energy relative to the lowest polymorph listed for this composition: 0 meV per atom.

It has space group Pm-3m (No. 221), with a = 4.2524 Å, b = 4.2524 Å, c = 4.2524 Å, α = 90.00°, β = 90.00° and γ = 90.00°. The distinct sites, in fractional coordinates, are W at (0.0000, 0.0000, 0.0000), C at (0.5000, 0.5000, 0.5000) and F at (0.0000, 0.0000, 0.5000).

(6)
Here is a geometry-optimized WC3F structure from the Alexandria database. Energies are from GGA+U.

Its calculated density is 5.66 g cm⁻³. As for the energy relative to the lowest polymorph listed for this composition: 0 meV per atom.

It has space group Pm-3m (No. 221), with a = 4.1220 Å, b = 4.1220 Å, c = 4.1220 Å, α = 90.00°, β = 90.00° and γ = 90.00°. The distinct sites, in fractional coordinates, are W at (0.0000, 0.0000, 0.0000), C at (0.0000, 0.0000, 0.5000) and F at (0.5000, 0.5000, 0.5000).